Record 1
## Pr5Sm3Dy4 (GGA-PBE)

Data for a relaxed Pr5Sm3Dy4 crystal.

It has space group C2/m (No. 12), with a = 9.854 Å, b = 5.908 Å, c = 15.174 Å, α = 90.00°, β = 108.80° and γ = 90.00°. The distinct sites, in fractional coordinates, are Pr at (0.000, 0.000, 0.000), Pr at (0.045, 0.500, 0.248), Pr at (0.169, 0.500, 0.500), Sm at (0.000, 0.500, 0.000), Sm at (0.205, 0.000, 0.249), Dy at (0.061, 0.000, 0.623) and Dy at (0.177, 0.000, 0.855).


Record 2
## Pr2Sm2Dy3 (GGA-PBE)

Data for a relaxed Pr2Sm2Dy3 crystal.

It has space group C2/m (No. 12), with a = 16.974 Å, b = 3.521 Å, c = 8.855 Å, α = 90.00°, β = 116.48° and γ = 90.00°. The distinct sites, in fractional coordinates, are Pr at (0.080, 0.000, 0.205), Sm at (0.140, 0.500, 0.907), Dy at (0.000, 0.000, 0.500) and Dy at (0.220, 0.000, 0.645).


Record 3
## PrSm2Dy7 (GGA-PBE)

Data for a relaxed PrSm2Dy7 crystal.

It has space group P-1 (No. 2), with a = 6.184 Å, b = 7.158 Å, c = 7.982 Å, α = 77.24°, β = 75.09° and γ = 73.37°. The distinct sites, in fractional coordinates, are Pr at (0.000, 0.000, 0.000), Sm at (0.200, 0.301, 0.600), Dy at (0.000, 0.500, 0.000), Dy at (0.200, 0.799, 0.600), Dy at (0.400, 0.100, 0.200) and Dy at (0.401, 0.599, 0.200).


Record 4
## Pr7SmDy3 (GGA-PBE)

Data for a relaxed Pr7SmDy3 crystal.

It has space group P3m1 (No. 156), with a = 7.2754 Å, b = 7.2754 Å, c = 8.7415 Å, α = 90.00°, β = 90.00° and γ = 120.00°. The distinct sites, in fractional coordinates, are Pr at (0.0000, 0.0000, 0.0000), Pr at (0.9997, 0.4998, 0.9818), Pr at (0.1668, 0.3336, 0.3345), Sm at (0.6667, 0.3333, 0.3172) and Dy at (0.3342, 0.1671, 0.6572).


Record 5
## Pr15Sm4Dy (GGA-PBE)

Data for a relaxed Pr15Sm4Dy crystal.

It has space group P4/mmm (No. 123), with a = 5.226 Å, b = 5.226 Å, c = 26.013 Å, α = 90.00°, β = 90.00° and γ = 90.00°. The distinct sites, in fractional coordinates, are Pr at (0.000, 0.000, 0.000), Pr at (0.000, 0.000, 0.199), Pr at (0.000, 0.000, 0.400), Pr at (0.000, 0.500, 0.099), Pr at (0.000, 0.500, 0.300), Pr at (0.000, 0.500, 0.500), Sm at (0.500, 0.500, 0.200), Sm at (0.500, 0.500, 0.400) and Dy at (0.500, 0.500, 0.000).


Record 6
## Pr5Sm3Dy4 (GGA-PBE)

Data for a relaxed Pr5Sm3Dy4 crystal.

It has space group P-1 (No. 2), with a = 6.299 Å, b = 7.265 Å, c = 8.907 Å, α = 90.09°, β = 90.04° and γ = 90.00°. The distinct sites, in fractional coordinates, are Pr at (0.000, 0.000, 0.000), Pr at (0.331, 0.500, 0.336), Pr at (0.499, 0.752, 0.000), Sm at (0.000, 0.500, 0.000), Sm at (0.166, 0.248, 0.664), Dy at (0.167, 0.753, 0.665) and Dy at (0.334, 0.000, 0.337).


Record 7
## Pr3Sm2Dy3 (GGA-PBE)

Data for a relaxed Pr3Sm2Dy3 crystal.

It has space group Immm (No. 71), with a = 5.115 Å, b = 5.136 Å, c = 20.546 Å, α = 90.00°, β = 90.00° and γ = 90.00°. The distinct sites, in fractional coordinates, are Pr at (0.000, 0.000, 0.000), Pr at (0.000, 0.500, 0.124), Sm at (0.000, 0.000, 0.249), Dy at (0.000, 0.000, 0.500) and Dy at (0.000, 0.500, 0.374).


Record 8
## Pr2Sm3Dy7 (GGA-PBE)

Data for a relaxed Pr2Sm3Dy7 crystal.

It has space group P2/m (No. 10), with a = 6.382 Å, b = 3.546 Å, c = 17.630 Å, α = 90.00°, β = 96.21° and γ = 90.00°. The distinct sites, in fractional coordinates, are Pr at (0.056, 0.000, 0.173), Sm at (0.454, 0.500, 0.841), Sm at (0.500, 0.000, 0.500), Dy at (0.000, 0.500, 0.500), Dy at (0.227, 0.000, 0.665), Dy at (0.255, 0.000, 0.000) and Dy at (0.274, 0.500, 0.337).


Record 9
## Pr5SmDy3 (GGA-PBE)

Data for a relaxed Pr5SmDy3 crystal.

It has space group C2/m (No. 12), with a = 12.014 Å, b = 11.920 Å, c = 10.011 Å, α = 90.00°, β = 105.50° and γ = 90.00°. The distinct sites, in fractional coordinates, are Pr at (0.000, 0.247, 0.000), Pr at (0.149, 0.250, 0.646), Pr at (0.242, 0.000, 0.417), Pr at (0.248, 0.000, 0.082), Sm at (0.236, 0.500, 0.232), Dy at (0.000, 0.000, 0.175), Dy at (0.000, 0.000, 0.500), Dy at (0.000, 0.500, 0.000) and Dy at (0.008, 0.500, 0.340).


Record 10
## Pr7Sm4Dy (GGA-PBE)

Data for a relaxed Pr7Sm4Dy crystal.

It has space group C2/m (No. 12), with a = 16.457 Å, b = 6.109 Å, c = 9.483 Å, α = 90.00°, β = 116.01° and γ = 90.00°. The distinct sites, in fractional coordinates, are Pr at (0.000, 0.000, 0.000), Pr at (0.082, 0.500, 0.439), Pr at (0.208, 0.500, 0.226), Pr at (0.208, 0.500, 0.876), Sm at (0.073, 0.000, 0.698), Sm at (0.173, 0.000, 0.389) and Dy at (0.000, 0.500, 0.000).


Record 11
## Pr5SmDy2 (GGA-PBE)

Data for a relaxed Pr5SmDy2 crystal.

It has space group C2/c (No. 15), with a = 16.933 Å, b = 10.143 Å, c = 6.649 Å, α = 90.00°, β = 99.84° and γ = 90.00°. The distinct sites, in fractional coordinates, are Pr at (0.000, 0.057, 0.250), Pr at (0.095, 0.404, 0.144), Pr at (0.203, 0.087, 0.021), Sm at (0.250, 0.250, 0.500) and Dy at (0.080, 0.256, 0.635).


Record 12
## Pr2Sm9Dy (GGA-PBE)

Data for a relaxed Pr2Sm9Dy crystal.

It has space group P4/mmm (No. 123), with a = 5.137 Å, b = 5.137 Å, c = 15.417 Å, α = 90.00°, β = 90.00° and γ = 90.00°. The distinct sites, in fractional coordinates, are Pr at (0.000, 0.000, 0.168), Sm at (0.000, 0.500, 0.000), Sm at (0.000, 0.500, 0.336), Sm at (0.500, 0.500, 0.168), Sm at (0.500, 0.500, 0.500) and Dy at (0.000, 0.000, 0.500).


Record 13
## Pr7Sm2Dy (GGA-PBE)

Data for a relaxed Pr7Sm2Dy crystal.

It has space group Cmmm (No. 65), with a = 6.742 Å, b = 30.075 Å, c = 3.483 Å, α = 90.00°, β = 90.00° and γ = 90.00°. The distinct sites, in fractional coordinates, are Pr at (0.000, 0.000, 0.000), Pr at (0.000, 0.190, 0.500), Pr at (0.242, 0.401, 0.000), Sm at (0.000, 0.293, 0.000) and Dy at (0.000, 0.500, 0.500).


Record 14
## Pr4Sm8Dy3 (GGA-PBE)

Data for a relaxed Pr4Sm8Dy3 crystal.

It has space group R-3m (No. 166, hexagonal axes), with a = 7.0533 Å, b = 7.0533 Å, c = 36.1557 Å, α = 90.00°, β = 90.00° and γ = 120.00°. The distinct sites, in fractional coordinates, are Pr at (0.0000, 0.0000, 0.0000), Pr at (0.0000, 0.0000, 0.1636), Pr at (0.0000, 0.0000, 0.5000), Sm at (0.0000, 0.0000, 0.2548), Sm at (0.0017, 0.5009, 0.2515) and Dy at (0.0000, 0.5000, 0.0000).


Record 15
## Pr11Sm9Dy4 (GGA-PBE)

Data for a relaxed Pr11Sm9Dy4 crystal.

It has space group Cmmm (No. 65), with a = 17.224 Å, b = 26.264 Å, c = 3.705 Å, α = 90.00°, β = 90.00° and γ = 90.00°. The distinct sites, in fractional coordinates, are Pr at (0.000, 0.000, 0.000), Pr at (0.000, 0.162, 0.000), Pr at (0.000, 0.369, 0.000), Pr at (0.209, 0.500, 0.000), Pr at (0.223, 0.181, 0.000), Sm at (0.000, 0.500, 0.500), Sm at (0.103, 0.268, 0.500), Sm at (0.139, 0.074, 0.500) and Dy at (0.158, 0.398, 0.500).


Record 16
## PrSm3Dy4 (GGA-PBE)

Data for a relaxed PrSm3Dy4 crystal.

It has space group P2/m (No. 10), with a = 3.603 Å, b = 10.124 Å, c = 7.205 Å, α = 90.00°, β = 90.08° and γ = 90.00°. The distinct sites, in fractional coordinates, are Pr at (0.000, 0.000, 0.000), Sm at (0.000, 0.000, 0.500), Sm at (0.000, 0.500, 0.000), Sm at (0.000, 0.500, 0.500) and Dy at (0.500, 0.251, 0.251).


Record 17
## Pr7SmDy4 (GGA-PBE)

Data for a relaxed Pr7SmDy4 crystal.

It has space group P-1 (No. 2), with a = 6.388 Å, b = 7.355 Å, c = 9.079 Å, α = 89.96°, β = 76.49° and γ = 90.00°. The distinct sites, in fractional coordinates, are Pr at (0.000, 0.000, 0.000), Pr at (0.222, 0.500, 0.334), Pr at (0.281, 0.752, 0.664), Pr at (0.500, 0.247, 0.998), Sm at (0.000, 0.500, 0.000), Dy at (0.219, 0.000, 0.335) and Dy at (0.278, 0.246, 0.667).


Record 18
## Pr5Sm2Dy2 (GGA-PBE)

Data for a relaxed Pr5Sm2Dy2 crystal.

It has space group C2/m (No. 12), with a = 11.594 Å, b = 5.174 Å, c = 10.965 Å, α = 90.00°, β = 108.58° and γ = 90.00°. The distinct sites, in fractional coordinates, are Pr at (0.000, 0.000, 0.000), Pr at (0.166, 0.500, 0.888), Pr at (0.167, 0.500, 0.555), Sm at (0.001, 0.000, 0.668) and Dy at (0.167, 0.500, 0.223).


Record 19
## Pr4SmDy (GGA-PBE)

Data for a relaxed Pr4SmDy crystal.

It has space group Cmmm (No. 65), with a = 5.208 Å, b = 15.574 Å, c = 5.199 Å, α = 90.00°, β = 90.00° and γ = 90.00°. The distinct sites, in fractional coordinates, are Pr at (0.000, 0.165, 0.000), Pr at (0.000, 0.335, 0.500), Sm at (0.000, 0.000, 0.500) and Dy at (0.000, 0.500, 0.000).


Record 20
## Pr8SmDy2 (GGA-PBE)

Data for a relaxed Pr8SmDy2 crystal.

It has space group C2/m (No. 12), with a = 17.123 Å, b = 6.866 Å, c = 6.764 Å, α = 90.00°, β = 100.01° and γ = 90.00°. The distinct sites, in fractional coordinates, are Pr at (0.087, 0.239, 0.408), Pr at (0.095, 0.000, 0.916), Pr at (0.245, 0.500, 0.321), Sm at (0.000, 0.500, 0.000) and Dy at (0.198, 0.500, 0.810).


| no. | energy (eV/atom) | total magnetization (μB per atom) |
| --- | --- | --- |
| 1 | -4.4910 | 0.000 |
| 2 | -4.5571 | 0.000 |
| 3 | -4.6266 | 0.000 |
| 4 | -4.5440 | 0.000 |
| 5 | -4.7460 | 0.000 |
| 6 | -4.6901 | 0.000 |
| 7 | -4.6796 | 0.000 |
| 8 | -4.5790 | 0.000 |
| 9 | -4.2475 | 0.000 |
| 10 | -4.5374 | 0.043 |
| 11 | -4.5828 | 0.000 |
| 12 | -4.7016 | 0.000 |
| 13 | -4.5816 | 0.000 |
| 14 | -4.5982 | 0.000 |
| 15 | -4.6710 | 0.000 |
| 16 | -4.6511 | 0.000 |
| 17 | -4.7060 | 0.000 |
| 18 | -4.7100 | 0.000 |
| 19 | -4.7220 | 0.000 |
| 20 | -4.5800 | 0.000 |